Below is crystalline Tb8HoEr4 at its relaxed geometry, with properties calculated at the PBE level. Values from VASP.

Values from the calculation:
DOS(E_F): 14.3 states/eV/f.u.
E_tot: -4.3905 eV per atom
Symmetry: R-3m
DFT formation energy: 0.215 eV/atom
Calculated density: 8.47 g/cm3

Cell and atoms, written as Quantum ESPRESSO input:
```
&SYSTEM
  ibrav = 0, nat = 13, ntyp = 3
/
ATOMIC_SPECIES
Tb 158.93 Tb.upf
Ho 164.93 Ho.upf
Er 167.26 Er.upf
CELL_PARAMETERS angstrom
3.605 2.081 9.168
-3.605 2.081 9.168
0.000 -4.162 9.168
ATOMIC_POSITIONS crystal
Tb 0.201 0.751 0.751
Tb 0.215 0.215 0.215
Tb 0.249 0.249 0.799
Tb 0.249 0.799 0.249
Tb 0.751 0.201 0.751
Tb 0.751 0.751 0.201
Tb 0.785 0.785 0.785
Tb 0.799 0.249 0.249
Ho 0.500 0.500 0.500
Er 0.000 0.000 0.000
Er 0.000 0.500 0.500
Er 0.500 0.000 0.500
Er 0.500 0.500 0.000
```

=====

Below is crystalline KPa2Se7 at its relaxed geometry, with properties calculated at the PBE level. Values from VASP.

Values from the calculation:
DOS(E_F): 4.3 states/eV/f.u.
E_tot: -5.4667 eV per atom
Symmetry: Cmmm
Formation energy from raw total energies: -1.0186 eV per atom
Calculated density: 5.58 g/cm3

Cell and atoms, written as Quantum ESPRESSO input:
```
&SYSTEM
  ibrav = 0, nat = 10, ntyp = 3
/
ATOMIC_SPECIES
K 39.10 K.upf
Pa 231.04 Pa.upf
Se 78.96 Se.upf
CELL_PARAMETERS angstrom
4.317 -6.638 0.000
4.317 6.638 0.000
0.000 0.000 5.476
ATOMIC_POSITIONS crystal
K 0.000 0.000 0.000
Pa 0.286 0.714 0.500
Pa 0.714 0.286 0.500
Se 0.089 0.331 0.500
Se 0.279 0.721 0.000
Se 0.331 0.089 0.500
Se 0.500 0.500 0.500
Se 0.669 0.911 0.500
Se 0.721 0.279 0.000
Se 0.911 0.669 0.500
```

=====

Below is crystalline SmAu at its relaxed geometry, with properties calculated at the PBE level. Values from VASP.

Values from the calculation:
DOS(E_F): 1.2 states/eV/f.u.
E_tot: -4.7962 eV per atom
Symmetry: Pm-3m
DFT formation energy: -0.798 eV/atom
Calculated density: 11.64 g/cm3

Cell and atoms, written as Quantum ESPRESSO input:
```
&SYSTEM
  ibrav = 0, nat = 2, ntyp = 2
/
ATOMIC_SPECIES
Sm 150.36 Sm.upf
Au 196.97 Au.upf
CELL_PARAMETERS angstrom
3.673 0.000 0.000
0.000 3.673 0.000
0.000 0.000 3.673
ATOMIC_POSITIONS crystal
Sm 0.000 0.000 0.000
Au 0.500 0.500 0.500
```

=====

Below is crystalline InReW at its relaxed geometry, with properties calculated at the PBE level. Values from VASP.

Values from the calculation:
DOS(E_F): 3.6 states/eV/f.u.
Energy above the most stable polymorph in this dataset: 432.8 meV per atom
E_tot: -8.5930 eV per atom
Symmetry: F-43m
DFT formation energy: 0.787 eV/atom
Calculated density: 13.37 g/cm3

Cell and atoms, written as Quantum ESPRESSO input:
```
&SYSTEM
  ibrav = 0, nat = 3, ntyp = 3
/
ATOMIC_SPECIES
In 114.82 In.upf
Re 186.21 Re.upf
W 183.84 W.upf
CELL_PARAMETERS angstrom
0.000 3.111 3.111
3.111 0.000 3.111
3.111 3.111 0.000
ATOMIC_POSITIONS crystal
In 0.000 0.000 0.000
Re 0.750 0.750 0.750
W 0.500 0.500 0.500
```

=====

Below is crystalline CaRh2Cl2 at its relaxed geometry, with properties calculated at the PBE level. Values from VASP.

Values from the calculation:
DOS(E_F): 3.9 states/eV/f.u.
Energy above the most stable polymorph in this dataset: 65.9 meV per atom
E_tot: -4.2219 eV per atom
Symmetry: I4/mmm
Formation energy from raw total energies: -0.1423 eV per atom
Calculated density: 5.38 g/cm3

Cell and atoms, written as Quantum ESPRESSO input:
```
&SYSTEM
  ibrav = 0, nat = 5, ntyp = 3
/
ATOMIC_SPECIES
Ca 40.08 Ca.upf
Rh 102.91 Rh.upf
Cl 35.45 Cl.upf
CELL_PARAMETERS angstrom
-2.409 2.409 4.212
2.409 -2.409 4.212
2.409 2.409 -4.212
ATOMIC_POSITIONS crystal
Ca 0.000 0.000 0.000
Rh 0.331 0.331 0.000
Rh 0.669 0.669 0.000
Cl 0.250 0.750 0.500
Cl 0.750 0.250 0.500
```

=====

Below is crystalline YAu2Cl at its relaxed geometry, with properties calculated at the PBE level. Values from VASP.

Values from the calculation:
DOS(E_F): 0.3 states/eV/f.u.
E_tot: -4.6130 eV per atom
Symmetry: Pm
Formation energy from raw total energies: -0.8966 eV per atom
Calculated density: 7.94 g/cm3

Cell and atoms, written as Quantum ESPRESSO input:
```
&SYSTEM
  ibrav = 0, nat = 4, ntyp = 3
/
ATOMIC_SPECIES
Y 88.91 Y.upf
Au 196.97 Au.upf
Cl 35.45 Cl.upf
CELL_PARAMETERS angstrom
3.802 0.000 0.000
0.000 3.580 0.000
-1.544 0.000 7.969
ATOMIC_POSITIONS crystal
Y 0.000 0.000 0.000
Au 0.425 0.500 0.814
Au 0.854 0.000 0.640
Cl 0.101 0.500 0.247
```

=====

- Which formula does entry 4 have?
  InReW